Entry 1:
VASP calculation (GGA-PBE) on crystalline Sc2CuTe at its relaxed geometry.

abc: 3.8911 3.8911 7.2200
angles: 105.79 105.79 60.25
With the nearest neighbours (Å) after each atom.
Element x y z (fractional)
Sc 0.2402 0.2402 0.2220  3 Cu 2.71-2.72, 3 Te 2.95
Sc 0.7598 0.7598 0.7780  3 Cu 2.71-2.72, 3 Te 2.95
Cu 0.5000 0.5000 0.0000  6 Sc 2.71-2.72
Te 0.0000 0.0000 0.5000  6 Sc 2.95

## Properties
E_form (uncorrected) (kJ/mol of formula units): -208
Polymorph energy (0 for the lowest one) (eV/f.u.): 0.28
Total energy (eV/atom): -5.5152

Entry 2:
VASP calculation (GGA-PBE) on crystalline Sc2CuTe at its relaxed geometry.

abc: 3.6255 3.6255 6.2691
angles: 90.00 90.00 90.00
With the nearest neighbours (Å) after each atom.
Element x y z (fractional)
Sc 0.0000 0.0000 0.2352  1 Sc 2.95, 4 Cu 2.96, 4 Te 3.05
Sc 0.0000 0.0000 0.7648  1 Sc 2.95, 4 Cu 2.96, 4 Te 3.05
Cu 0.5000 0.5000 0.0000  8 Sc 2.96, 2 Te 3.13
Te 0.5000 0.5000 0.5000  8 Sc 3.05, 2 Cu 3.13

## Properties
E_form (uncorrected) (kJ/mol of formula units): -200
Polymorph energy (0 for the lowest one) (eV/f.u.): 0.37
Total energy (eV/atom): -5.4923

Entry 3:
VASP calculation (GGA-PBE) on crystalline Sc2CuTe at its relaxed geometry.

abc: 8.5373 8.5373 8.5373
angles: 26.66 26.66 26.66
With the nearest neighbours (Å) after each atom.
Element x y z (fractional)
Sc 0.1112 0.1112 0.1112  3 Cu 2.65, 1 Te 2.75
Sc 0.8888 0.8888 0.8888  3 Cu 2.65, 1 Te 2.75
Cu 0.5000 0.5000 0.5000  6 Sc 2.65
Te 0.0000 0.0000 0.0000  2 Sc 2.75

## Properties
E_form (uncorrected) (kJ/mol of formula units): -29
Polymorph energy (0 for the lowest one) (eV/f.u.): 2.14
Total energy (eV/atom): -5.0499

> The lowest polymorph energy (0 for the lowest one) belongs to which entry?

number 1